## Tb2DyEr5In (GGA-PBE)

Data for a geometry-optimized Tb2DyEr5In structure.

Computed properties:
**Total DFT energy (no corrections)**: -4.38 eV/atom

Unit cell a=10.402 b=10.402 c=10.388 alpha=90.00 beta=90.00 gamma=150.48
Atoms (fractional coordinates):
Tb 0.116 0.884 0.539
Tb 0.116 0.884 0.961
Tb 0.884 0.116 0.039
Tb 0.884 0.116 0.461
Dy 0.208 0.792 0.250
Dy 0.792 0.208 0.750
Er 0.011 0.989 0.250
Er 0.289 0.711 0.551
Er 0.289 0.711 0.949
Er 0.383 0.617 0.250
Er 0.500 0.500 0.000
Er 0.500 0.500 0.500
Er 0.617 0.383 0.750
Er 0.711 0.289 0.051
Er 0.711 0.289 0.449
Er 0.989 0.011 0.750
In 0.404 0.596 0.750
In 0.596 0.404 0.250



## TbDy2Er5In (GGA-PBE)

Data for a geometry-optimized TbDy2Er5In structure.

Computed properties:
**Total DFT energy (no corrections)**: -4.38 eV/atom

Unit cell a=10.368 b=10.368 c=10.403 alpha=90.00 beta=90.00 gamma=150.34
Atoms (fractional coordinates):
Tb 0.208 0.792 0.750
Tb 0.792 0.208 0.250
Dy 0.116 0.884 0.040
Dy 0.116 0.884 0.460
Dy 0.884 0.116 0.540
Dy 0.884 0.116 0.960
Er 0.011 0.989 0.750
Er 0.289 0.711 0.050
Er 0.289 0.711 0.450
Er 0.383 0.617 0.750
Er 0.500 0.500 0.000
Er 0.500 0.500 0.500
Er 0.617 0.383 0.250
Er 0.711 0.289 0.550
Er 0.711 0.289 0.950
Er 0.989 0.011 0.250
In 0.404 0.596 0.250
In 0.596 0.404 0.750



## Tb2Dy6Er3In (GGA-PBE)

Data for a geometry-optimized Tb2Dy6Er3In structure.

Computed properties:
**Total DFT energy (no corrections)**: -4.49 eV/atom

Unit cell a=6.064 b=6.064 c=11.608 alpha=95.00 beta=95.00 gamma=120.03
Atoms (fractional coordinates):
Tb 0.166 0.834 0.000
Tb 0.834 0.166 0.000
Dy 0.089 0.417 0.751
Dy 0.254 0.254 0.250
Dy 0.417 0.089 0.751
Dy 0.583 0.911 0.249
Dy 0.746 0.746 0.750
Dy 0.911 0.583 0.249
Er 0.000 0.000 0.500
Er 0.333 0.667 0.500
Er 0.667 0.333 0.500
In 0.500 0.500 0.000